# 1
A relaxed NaAl6Ag12 crystal, computed with PBE-GGA.

Structure (CIF):
```
data_NaAl6Ag12
_space_group_name_H-M_alt 'R -3 m'
_space_group_IT_number 166
_space_group_name_Hall '-R 3 2"'
_cell_length_a 11.9496
_cell_length_b 11.9496
_cell_length_c 8.9293
_cell_angle_alpha 90.00
_cell_angle_beta 90.00
_cell_angle_gamma 120.00
loop_
_atom_site_label
_atom_site_type_symbol
_atom_site_fract_x
_atom_site_fract_y
_atom_site_fract_z
Na1 Na 0.0000 0.0000 0.0000
Al1 Al 0.0633 0.5317 0.2429
Ag1 Ag 0.0000 0.3832 0.5000
Ag2 Ag 0.0833 0.1665 0.2932
```

Properties
E_form in eV/atom: 0.04
Density of states at the Fermi level in states/eV per cell: 17.1

---

# 2
A relaxed NaAlAg3 crystal, computed with PBE-GGA.

Structure (CIF):
```
data_NaAlAg3
_space_group_name_H-M_alt 'C m c m'
_space_group_IT_number 63
_space_group_name_Hall '-C 2c 2'
_cell_length_a 5.875
_cell_length_b 13.013
_cell_length_c 5.322
_cell_angle_alpha 90.00
_cell_angle_beta 90.00
_cell_angle_gamma 90.00
loop_
_atom_site_label
_atom_site_type_symbol
_atom_site_fract_x
_atom_site_fract_y
_atom_site_fract_z
Na1 Na 0.000 0.102 0.250
Al1 Al 0.000 0.500 0.000
Ag1 Ag 0.000 0.325 0.750
Ag2 Ag 0.247 0.354 0.250
```

Properties
E_form in eV/atom: -0.02
Density of states at the Fermi level in states/eV per cell: 5.3
E above lowest polymorph in kcal/mol of atoms: 0.00

---

# 3
A relaxed Na2AlAg2 crystal, computed with PBE-GGA.

Structure (CIF):
```
data_Na2AlAg2
_space_group_name_H-M_alt 'I m m m'
_space_group_IT_number 71
_space_group_name_Hall '-I 2 2'
_cell_length_a 4.170
_cell_length_b 5.949
_cell_length_c 9.517
_cell_angle_alpha 90.00
_cell_angle_beta 90.00
_cell_angle_gamma 90.00
loop_
_atom_site_label
_atom_site_type_symbol
_atom_site_fract_x
_atom_site_fract_y
_atom_site_fract_z
Na1 Na 0.000 0.000 0.201
Al1 Al 0.000 0.500 0.000
Ag1 Ag 0.000 0.260 0.500
```

Properties
E_form in eV/atom: -0.01
Density of states at the Fermi level in states/eV per cell: 3.8
E above lowest polymorph in kcal/mol of atoms: 0.00

---

# 4
A relaxed Na2AlAg2 crystal, computed with PBE-GGA.

Structure (CIF):
```
data_Na2AlAg2
_space_group_name_H-M_alt 'P 4/m b m'
_space_group_IT_number 127
_space_group_name_Hall '-P 4 2ab'
_cell_length_a 8.551
_cell_length_b 8.551
_cell_length_c 2.997
_cell_angle_alpha 90.00
_cell_angle_beta 90.00
_cell_angle_gamma 90.00
loop_
_atom_site_label
_atom_site_type_symbol
_atom_site_fract_x
_atom_site_fract_y
_atom_site_fract_z
Na1 Na 0.131 0.369 0.000
Al1 Al 0.000 0.000 0.000
Ag1 Ag 0.169 0.669 0.500
```

Properties
E_form in eV/atom: 0.23
Density of states at the Fermi level in states/eV per cell: 1.8
E above lowest polymorph in kcal/mol of atoms: 5.38

---

# 5
A relaxed Na3AlAg crystal, computed with PBE-GGA.

Structure (CIF):
```
data_Na3AlAg
_space_group_name_H-M_alt 'P m -3 m'
_space_group_IT_number 221
_space_group_name_Hall '-P 4 2 3'
_cell_length_a 5.525
_cell_length_b 5.525
_cell_length_c 5.525
_cell_angle_alpha 90.00
_cell_angle_beta 90.00
_cell_angle_gamma 90.00
loop_
_atom_site_label
_atom_site_type_symbol
_atom_site_fract_x
_atom_site_fract_y
_atom_site_fract_z
Na1 Na 0.000 0.000 0.500
Al1 Al 0.500 0.500 0.500
Ag1 Ag 0.000 0.000 0.000
```

Properties
E_form in eV/atom: 0.41
Density of states at the Fermi level in states/eV per cell: 2.7
E above lowest polymorph in kcal/mol of atoms: 0.00

---

# 6
A relaxed NaAl3Ag2 crystal, computed with PBE-GGA.

Structure (CIF):
```
data_NaAl3Ag2
_space_group_name_H-M_alt 'P 6/m m m'
_space_group_IT_number 191
_space_group_name_Hall '-P 6 2'
_cell_length_a 5.5136
_cell_length_b 5.5136
_cell_length_c 4.4606
_cell_angle_alpha 90.00
_cell_angle_beta 90.00
_cell_angle_gamma 120.00
loop_
_atom_site_label
_atom_site_type_symbol
_atom_site_fract_x
_atom_site_fract_y
_atom_site_fract_z
Na1 Na 0.0000 0.0000 0.0000
Al1 Al 0.0000 0.5000 0.5000
Ag1 Ag 0.3333 0.6667 0.0000
```

Properties
E_form in eV/atom: -0.03
Density of states at the Fermi level in states/eV per cell: 3.7

---

# 7
A relaxed Na2AlAg3 crystal, computed with PBE-GGA.

Structure (CIF):
```
data_Na2AlAg3
_space_group_name_H-M_alt 'P 63/m m c'
_space_group_IT_number 194
_space_group_name_Hall '-P 6c 2c'
_cell_length_a 5.8660
_cell_length_b 5.8660
_cell_length_c 8.3564
_cell_angle_alpha 90.00
_cell_angle_beta 90.00
_cell_angle_gamma 120.00
loop_
_atom_site_label
_atom_site_type_symbol
_atom_site_fract_x
_atom_site_fract_y
_atom_site_fract_z
Na1 Na 0.3333 0.6667 0.0653
Al1 Al 0.0000 0.0000 0.0000
Ag1 Ag 0.1697 0.3394 0.7500
```

Properties
E_form in eV/atom: -0.06
Density of states at the Fermi level in states/eV per cell: 4.9

---

# 8
A relaxed Na2AlAg crystal, computed with PBE-GGA.

Structure (CIF):
```
data_Na2AlAg
_space_group_name_H-M_alt 'I -4 2 d'
_space_group_IT_number 122
_space_group_name_Hall 'I -4 2bw'
_cell_length_a 8.472
_cell_length_b 8.472
_cell_length_c 5.411
_cell_angle_alpha 90.00
_cell_angle_beta 90.00
_cell_angle_gamma 90.00
loop_
_atom_site_label
_atom_site_type_symbol
_atom_site_fract_x
_atom_site_fract_y
_atom_site_fract_z
Na1 Na 0.220 0.250 0.125
Al1 Al 0.000 0.000 0.500
Ag1 Ag 0.000 0.000 0.000
```

Properties
E_form in eV/atom: 0.24
Density of states at the Fermi level in states/eV per cell: 2.9